w.
Density functional theory data (SCAN) for a PBEsol-optimized structure of AlTlCl2.

Calculated values
**Magnetic moment**: 0.00 Bohr magnetons per cell

abc: 6.8794 6.8794 6.8794
angles: 151.36 139.16 50.64
Fractional positions:
Al 0.0000 0.0000 0.0000
Tl 0.7942 0.2942 0.5000
Cl 0.1450 0.6450 0.5000
Cl 0.4585 0.4585 0.0000

***

x.
Density functional theory data (SCAN) for a PBEsol-optimized structure of AlTlCl2.

Calculated values
**Magnetic moment**: 0.00 Bohr magnetons per cell

abc: 3.9142 3.9142 6.5673
angles: 90.00 90.00 90.00
Fractional positions:
Al 0.0000 0.0000 0.0000
Tl 0.5000 0.5000 0.6012
Cl 0.0000 0.0000 0.3554
Cl 0.5000 0.5000 0.0718

***

y.
Density functional theory data (SCAN) for a PBEsol-optimized structure of AlTlCl2.

Calculated values
**Magnetic moment**: 0.00 Bohr magnetons per cell

abc: 5.1854 5.1854 3.6563
angles: 90.00 90.00 90.00
Fractional positions:
Al 0.0000 0.0000 0.0000
Tl 0.5000 0.5000 0.0000
Cl 0.0000 0.5000 0.5000
Cl 0.5000 0.0000 0.5000

***

Which structure is most stable? x, by 0.050 eV/atom over the runner-up.

***

w.
Density functional theory data (SCAN) for a PBEsol-optimized structure of AlWCl2.

Calculated values
**Magnetic moment**: 1.29 Bohr magnetons per cell

abc: 2.8395 4.3417 5.3182
angles: 90.00 90.00 90.00
Fractional positions:
Al 0.0000 0.0000 0.0000
W 0.5000 0.0000 0.5000
Cl 0.0000 0.5000 0.5000
Cl 0.5000 0.5000 0.0000

***

x.
Density functional theory data (SCAN) for a PBEsol-optimized structure of AlWCl2.

Calculated values
**Magnetic moment**: 0.00 Bohr magnetons per cell

abc: 10.8481 10.8481 10.8481
angles: 15.85 15.85 15.85
Fractional positions:
Al 0.0000 0.0000 0.0000
W 0.5000 0.5000 0.5000
Cl 0.2216 0.2216 0.2216
Cl 0.7784 0.7784 0.7784

***

Which structure is most stable? x, by 0.273 eV/atom over the runner-up.

***

w.
Density functional theory data (SCAN) for a PBEsol-optimized structure of YAlCl2.

Calculated values
**Magnetic moment**: 0.00 Bohr magnetons per cell

abc: 9.7168 9.7168 9.7168
angles: 20.13 20.13 20.13
Fractional positions:
Y 0.0000 0.0000 0.0000
Al 0.5000 0.5000 0.5000
Cl 0.2682 0.2682 0.2682
Cl 0.7318 0.7318 0.7318

***

x.
Density functional theory data (SCAN) for a PBEsol-optimized structure of YAlCl2.

Calculated values
**Magnetic moment**: 0.00 Bohr magnetons per cell

abc: 5.0952 5.0952 5.3926
angles: 97.94 97.94 39.00
Fractional positions:
Y 0.0000 0.0000 0.0000
Al 0.5000 0.5000 0.5000
Cl 0.2943 0.2943 0.7759
Cl 0.7057 0.7057 0.2241

***

y.
Density functional theory data (SCAN) for a PBEsol-optimized structure of YAlCl2.

Calculated values
**Magnetic moment**: 0.00 Bohr magnetons per cell

abc: 3.3951 4.4132 5.6036
angles: 90.00 90.00 90.00
Fractional positions:
Y 0.0000 0.0000 0.0000
Al 0.5000 0.0000 0.5000
Cl 0.0000 0.5000 0.5000
Cl 0.5000 0.5000 0.0000

***

Which structure is most stable? x, by 0.046 eV/atom over the runner-up.

***

w.
Density functional theory data (SCAN) for a PBEsol-optimized structure of ZrAlCl2.

Calculated values
**Magnetic moment**: 0.00 Bohr magnetons per cell

abc: 4.8570 5.0328 5.0328
angles: 37.89 90.00 90.00
Fractional positions:
Zr 0.0000 0.0000 0.0000
Al 0.5000 0.6091 0.6091
Cl 0.0000 0.2895 0.2895
Cl 0.5000 0.8714 0.8714

***

x.
Density functional theory data (SCAN) for a PBEsol-optimized structure of ZrAlCl2.

Calculated values
**Magnetic moment**: 0.28 Bohr magnetons per cell

abc: 3.0948 3.0948 8.7705
angles: 90.00 90.00 90.00
Fractional positions:
Zr 0.0000 0.0000 0.0000
Al 0.0000 0.0000 0.5000
Cl 0.5000 0.5000 0.1748
Cl 0.5000 0.5000 0.8252

***

y.
Density functional theory data (SCAN) for a PBEsol-optimized structure of ZrAlCl2.

Calculated values
**Magnetic moment**: 0.44 Bohr magnetons per cell

abc: 3.2616 4.4645 5.2834
angles: 90.00 91.63 90.00
Fractional positions:
Zr 0.0000 0.0000 0.0000
Al 0.5000 0.0000 0.5000
Cl 0.1919 0.5000 0.2438
Cl 0.8081 0.5000 0.7562

***

Which structure is most stable? w, by 0.109 eV/atom over the runner-up.